This record from Alexandria via LeMat-Bulk describes crystalline KTl2NiBr6 at its relaxed geometry. The functional is GGA-PBE.

Computed properties:
ΔE_f (raw) ... -0.7529 eV/atom

Structure (CIF):
```
data_KTl2NiBr6
_space_group_name_H-M_alt 'P 1 21/c 1'
_space_group_IT_number 14
_cell_length_a 7.6188
_cell_length_b 8.4651
_cell_length_c 12.5677
_cell_angle_alpha 90.00
_cell_angle_beta 122.63
_cell_angle_gamma 90.00
loop_
_space_group_symop_operation_xyz
'x,y,z'
'-x,-y,-z'
'-x,y+1/2,-z+1/2'
'x,-y+1/2,z+1/2'
loop_
_atom_site_label
_atom_site_fract_x
_atom_site_fract_y
_atom_site_fract_z
K1 0.0000 0.0000 0.0000
Tl1 0.2020 0.0464 0.7289
Ni1 0.5000 0.0000 0.5000
Br1 0.1920 0.1708 0.4813
Br2 0.2679 0.7271 0.9095
Br3 0.4039 0.0857 0.2920
```